# 1
An optimized crystal structure of Ca3NiPd. Source: the Alexandria database, functional PBE.

Cell and atoms, written as POSCAR:
```
Ca3NiPd
1.0
7.962 0.000 0.000
0.000 4.210 0.000
-3.217 0.000 7.563
Ca Ni Pd
6 2 2
direct
0.084 0.250 0.224
0.310 0.250 0.917
0.360 0.750 0.586
0.640 0.250 0.414
0.690 0.750 0.083
0.916 0.750 0.776
0.039 0.250 0.556
0.961 0.750 0.444
0.351 0.750 0.188
0.649 0.250 0.812
```

Summary:
symmetry: P2_1/m, No. 11
E_form: -380 meV/atom
ΔE to the lowest computed polymorph: 0 meV per atom

=====

# 2
An optimized crystal structure of CaNiPd2. Source: the Alexandria database, functional PBE.

Cell and atoms, written as POSCAR:
```
CaNiPd2
1.0
4.129 0.000 0.000
0.000 4.129 0.000
0.000 0.000 3.911
Ca Ni Pd
1 1 2
direct
0.000 0.000 0.000
0.500 0.500 0.000
0.000 0.500 0.500
0.500 0.000 0.500
```

Summary:
symmetry: P4/mmm, No. 123
E_form: -274 meV/atom
ΔE to the lowest computed polymorph: 0 meV per atom

=====

# 3
An optimized crystal structure of CaNi2Pd2. Source: the Alexandria database, functional PBE.

Cell and atoms, written as POSCAR:
```
CaNi2Pd2
1.0
7.439 0.000 0.000
0.000 7.439 0.000
0.000 0.000 2.856
Ca Ni Pd
2 4 4
direct
0.000 0.000 0.000
0.500 0.500 0.000
0.164 0.336 0.500
0.336 0.836 0.500
0.664 0.164 0.500
0.836 0.664 0.500
0.133 0.633 0.000
0.367 0.133 0.000
0.633 0.867 0.000
0.867 0.367 0.000
```

Summary:
symmetry: P4/mbm, No. 127
E_form: -96 meV/atom
ΔE to the lowest computed polymorph: 48 meV per atom

=====

# 4
An optimized crystal structure of CaNi2Pd. Source: the Alexandria database, functional PBE.

Cell and atoms, written as POSCAR:
```
CaNi2Pd
1.0
6.282 0.000 0.000
0.000 6.282 0.000
0.000 0.000 6.282
Ca Ni Pd
4 8 4
direct
0.000 0.000 0.000
0.000 0.500 0.500
0.500 0.000 0.500
0.500 0.500 0.000
0.250 0.250 0.250
0.250 0.250 0.750
0.250 0.750 0.250
0.250 0.750 0.750
0.750 0.250 0.250
0.750 0.250 0.750
0.750 0.750 0.250
0.750 0.750 0.750
0.000 0.000 0.500
0.000 0.500 0.000
0.500 0.000 0.000
0.500 0.500 0.500
```

Summary:
symmetry: Fm-3m, No. 225
E_form: 9 meV/atom

=====

# 5
An optimized crystal structure of CaNi2Pd2. Source: the Alexandria database, functional PBE.

Cell and atoms, written as POSCAR:
```
CaNi2Pd2
1.0
7.397 0.000 0.000
0.000 7.397 0.000
0.000 0.000 2.873
Ca Ni Pd
2 4 4
direct
0.000 0.000 0.000
0.500 0.500 0.000
0.117 0.383 0.000
0.383 0.883 0.000
0.617 0.117 0.000
0.883 0.617 0.000
0.178 0.678 0.500
0.322 0.178 0.500
0.678 0.822 0.500
0.822 0.322 0.500
```

Summary:
symmetry: P4/mbm, No. 127
E_form: -143 meV/atom
ΔE to the lowest computed polymorph: 0 meV per atom

=====

# 6
An optimized crystal structure of CaNi4Pd. Source: the Alexandria database, functional PBE.

Cell and atoms, written as POSCAR:
```
CaNi4Pd
1.0
0.000 3.468 3.468
3.468 0.000 3.468
3.468 3.468 0.000
Ca Ni Pd
1 4 1
direct
0.000 0.000 0.000
0.127 0.624 0.624
0.624 0.127 0.624
0.624 0.624 0.127
0.624 0.624 0.624
0.250 0.250 0.250
```

Summary:
symmetry: F-43m, No. 216
E_form: -100 meV/atom

=====

# 7
An optimized crystal structure of CaNi2Pd2. Source: the Alexandria database, functional PBE.

Cell and atoms, written as POSCAR:
```
CaNi2Pd2
1.0
4.148 0.000 0.000
0.000 4.148 0.000
0.000 0.000 10.053
Ca Ni Pd
2 4 4
direct
0.000 0.000 0.000
0.500 0.500 0.500
0.000 0.000 0.391
0.000 0.000 0.609
0.500 0.500 0.109
0.500 0.500 0.891
0.000 0.500 0.250
0.000 0.500 0.750
0.500 0.000 0.250
0.500 0.000 0.750
```

Summary:
symmetry: I4/mmm, No. 139
E_form: -135 meV/atom
ΔE to the lowest computed polymorph: 8 meV per atom

=====

# 8
An optimized crystal structure of CaNi2Pd. Source: the Alexandria database, functional PBE.

Cell and atoms, written as POSCAR:
```
CaNi2Pd
1.0
4.225 0.000 0.000
0.000 4.225 0.000
0.000 0.000 17.665
Ca Ni Pd
4 8 4
direct
0.000 0.000 0.000
0.000 0.500 0.250
0.500 0.000 0.750
0.500 0.500 0.500
0.092 0.250 0.625
0.250 0.592 0.875
0.250 0.908 0.375
0.408 0.250 0.125
0.592 0.750 0.125
0.750 0.092 0.375
0.750 0.408 0.875
0.908 0.750 0.625
0.000 0.000 0.500
0.000 0.500 0.750
0.500 0.000 0.250
0.500 0.500 0.000
```

Summary:
symmetry: I-42d, No. 122
E_form: 106 meV/atom